! LaAl6Cu4 PBE relaxed; values from VASP
! SG: No. 187
! DOS(E_F): 3.90 states/eV per cell
! energy of formation: -0.349 eV/atom
&SYSTEM
  ibrav = 0, nat = 11, ntyp = 3
/
ATOMIC_SPECIES
Al 26.98 Al.upf
Cu 63.55 Cu.upf
La 138.91 La.upf
ATOMIC_POSITIONS angstrom
Al 2.034 0.000 2.491
Cu 0.000 0.000 4.107
La 0.000 0.000 0.000
Al 0.000 2.147 2.868
Cu 2.034 2.231 1.288
Al 2.034 1.399 4.915
Al 2.034 -1.399 4.915
Cu 2.034 4.883 1.288
Al 0.000 4.967 2.868
Cu 2.034 3.557 3.585
Al 0.000 3.557 0.425
CELL_PARAMETERS angstrom
4.067 0.000 0.000
0.000 7.113 0.000
0.000 -3.557 6.160



! ScFeN3 PBE relaxed; values from VASP
! SG: No. 221
! DOS(E_F): 3.26 states/eV per cell
! uncorrected formation energy: 74 kJ/mol of formula units
&SYSTEM
  ibrav = 0, nat = 5, ntyp = 3
/
ATOMIC_SPECIES
N 14.01 N.upf
Fe 55.84 Fe.upf
Sc 44.96 Sc.upf
ATOMIC_POSITIONS angstrom
N 0.021 -0.319 1.807
N -1.769 0.478 0.105
Fe 0.000 0.000 0.000
N -0.489 -1.743 -0.302
Sc -2.237 -1.584 1.610
CELL_PARAMETERS angstrom
-3.538 0.956 0.210
-0.978 -3.486 -0.605
0.042 -0.639 3.615



! LaSi2Pd4 PBE relaxed; values from VASP
! SG: No. 136
! DOS(E_F): 9.80 states/eV per cell
! uncorrected formation energy: -549 kJ/mol of formula units
&SYSTEM
  ibrav = 0, nat = 14, ntyp = 3
/
ATOMIC_SPECIES
Si 28.09 Si.upf
Pd 106.42 Pd.upf
La 138.91 La.upf
ATOMIC_POSITIONS angstrom
Si 0.000 6.194 1.792
Pd 0.000 2.619 0.649
Pd 1.900 6.612 3.344
Si 1.900 5.785 5.785
Pd 1.900 1.374 4.642
Si 1.900 2.201 2.201
Pd 0.000 7.337 5.367
Si 0.000 1.792 6.194
La 0.000 3.993 3.993
Pd 1.900 4.642 1.374
Pd 1.900 3.344 6.612
La 1.900 0.000 0.000
Pd 0.000 0.649 2.619
Pd 0.000 5.367 7.337
CELL_PARAMETERS angstrom
3.800 0.000 0.000
0.000 7.986 0.000
0.000 0.000 7.986



! TbPr2ZrAs4 PBE relaxed; values from VASP
! SG: No. 10
! DOS(E_F): 1.48 states/eV per cell
! energy of formation: -1.406 eV/atom
&SYSTEM
  ibrav = 0, nat = 8, ntyp = 4
/
ATOMIC_SPECIES
As 74.92 As.upf
Zr 91.22 Zr.upf
Pr 140.91 Pr.upf
Tb 158.93 Tb.upf
ATOMIC_POSITIONS angstrom
As 4.194 -0.620 3.020
As 4.045 -0.485 -3.063
As 6.054 -2.901 -0.032
As 1.634 -2.307 -0.089
Zr 0.000 0.000 0.000
Pr 4.120 -0.552 -0.021
Tb 1.769 -2.270 -2.977
Pr 1.800 -2.386 2.877
CELL_PARAMETERS angstrom
-0.551 -4.103 -0.078
4.088 -0.437 -5.875
4.151 -0.668 5.833



! Tb4NdAu2 PBE relaxed; values from VASP
! SG: No. 166
! DOS(E_F): 9.43 states/eV per cell
! energy of formation: -0.251 eV/atom
&SYSTEM
  ibrav = 0, nat = 7, ntyp = 3
/
ATOMIC_SPECIES
Tb 158.93 Tb.upf
Au 196.97 Au.upf
Nd 144.24 Nd.upf
ATOMIC_POSITIONS angstrom
Tb -0.823 1.498 2.487
Tb 4.132 2.908 5.960
Tb 2.479 5.901 10.929
Tb -2.477 4.491 7.455
Au -1.755 2.964 4.897
Au 3.410 4.434 8.518
Nd 0.828 3.699 6.708
CELL_PARAMETERS angstrom
-2.283 3.997 1.634
-2.755 -0.235 4.026
6.694 3.637 7.756



! PuSiTc2 PBE relaxed; values from VASP
! SG: No. 59
! DOS(E_F): 15.06 states/eV per cell
! uncorrected formation energy: -43 kJ/mol of formula units
&SYSTEM
  ibrav = 0, nat = 8, ntyp = 3
/
ATOMIC_SPECIES
Tc 98.00 Tc.upf
Si 28.09 Si.upf
Pu 244.00 Pu.upf
ATOMIC_POSITIONS angstrom
Tc 2.056 1.431 0.915
Si 0.000 2.896 1.168
Tc 0.000 4.327 4.832
Pu 2.056 2.896 3.482
Tc 0.000 1.466 4.832
Pu 0.000 0.000 2.265
Tc 2.056 4.362 0.915
Si 2.056 0.000 4.579
CELL_PARAMETERS angstrom
4.111 0.000 0.000
0.000 5.793 0.000
0.000 0.000 5.747



! Tm3UTl3Se8 PBE relaxed; values from VASP
! SG: No. 12
! DOS(E_F): 5.95 states/eV per cell
! uncorrected formation energy: -1923 kJ/mol of formula units
&SYSTEM
  ibrav = 0, nat = 15, ntyp = 4
/
ATOMIC_SPECIES
Tl 204.38 Tl.upf
Se 78.96 Se.upf
Tm 168.93 Tm.upf
U 238.03 U.upf
ATOMIC_POSITIONS angstrom
Tl 2.300 2.871 -1.846
Tl 1.845 -0.831 -3.584
Se 3.979 -5.514 0.958
Se 0.978 -2.971 1.196
Tm 3.625 -2.805 0.154
Se 4.429 -1.812 2.698
U 1.780 -1.974 3.738
Tm 1.324 -5.676 1.999
Se 3.270 -0.097 -0.651
Tl 0.000 0.000 0.000
Tm 4.080 0.897 1.892
Se 0.523 -6.670 -0.541
Se 6.727 1.059 0.848
Se 2.821 -3.799 -2.391
Se 6.272 -2.640 -0.889
CELL_PARAMETERS angstrom
-0.911 -7.404 -3.477
4.601 5.742 -3.691
3.560 -3.948 7.475



! NbTl3Cl2F6 PBE relaxed; values from VASP
! SG: No. 12
! DOS(E_F): 0.00 states/eV per cell
! uncorrected formation energy: -2533 kJ/mol of formula units
&SYSTEM
  ibrav = 0, nat = 12, ntyp = 4
/
ATOMIC_SPECIES
Tl 204.38 Tl.upf
F 19.00 F.upf
Nb 92.91 Nb.upf
Cl 35.45 Cl.upf
ATOMIC_POSITIONS angstrom
Tl 2.233 -1.982 4.154
F 3.186 3.964 6.552
Tl 2.233 1.982 4.154
F 3.451 1.401 0.993
F 1.015 -2.562 7.316
F 1.015 2.562 7.316
F 1.280 0.000 1.756
Nb 2.385 0.000 0.166
Tl 0.000 3.964 0.000
F 3.451 6.526 0.993
Cl -0.023 3.964 3.095
Cl 4.489 0.000 5.213
CELL_PARAMETERS angstrom
4.771 0.000 0.331
0.000 7.927 0.000
-0.305 -3.964 7.977



! NaBePd2 PBE relaxed; values from VASP
! SG: No. 166
! DOS(E_F): 1.21 states/eV per cell
! energy of formation: -0.257 eV/atom
&SYSTEM
  ibrav = 0, nat = 4, ntyp = 3
/
ATOMIC_SPECIES
Na 22.99 Na.upf
Be 9.01 Be.upf
Pd 106.42 Pd.upf
ATOMIC_POSITIONS angstrom
Na -0.324 4.499 2.722
Be 0.000 0.000 0.000
Pd -0.337 1.802 1.372
Pd -0.311 7.196 4.071
CELL_PARAMETERS angstrom
-2.481 1.003 1.271
-0.196 0.150 2.952
2.028 7.845 1.221



! RbSrH2Br PBE relaxed; values from VASP
! SG: No. 123
! DOS(E_F): 0.00 states/eV per cell
! energy: -15.371 eV/f.u.
&SYSTEM
  ibrav = 0, nat = 5, ntyp = 4
/
ATOMIC_SPECIES
H 1.01 H.upf
Br 79.90 Br.upf
Sr 87.62 Sr.upf
Rb 85.47 Rb.upf
ATOMIC_POSITIONS angstrom
H 1.374 -1.993 -0.219
Br 0.641 0.112 3.001
Sr 0.000 0.000 0.000
Rb 0.075 -3.270 3.248
H -1.940 -1.388 0.466
CELL_PARAMETERS angstrom
-3.880 -2.777 0.932
2.748 -3.986 -0.438
1.282 0.224 6.003



! MnHgOs PBE relaxed; values from VASP
! SG: No. 187
! DOS(E_F): 2.70 states/eV per cell
! energy of formation: 0.713 eV/atom
&SYSTEM
  ibrav = 0, nat = 3, ntyp = 3
/
ATOMIC_SPECIES
Os 190.23 Os.upf
Mn 54.94 Mn.upf
Hg 200.59 Hg.upf
ATOMIC_POSITIONS angstrom
Os 2.202 1.271 1.430
Mn 0.000 2.542 1.433
Hg 0.000 0.000 2.860
CELL_PARAMETERS angstrom
4.403 0.000 0.000
-2.202 3.813 0.000
0.000 0.000 2.861



! Pu3TlRh PBE relaxed; values from VASP
! SG: No. 221
! DOS(E_F): 28.05 states/eV per cell
! energy of formation: 0.081 eV/atom
&SYSTEM
  ibrav = 0, nat = 5, ntyp = 3
/
ATOMIC_SPECIES
Rh 102.91 Rh.upf
Pu 244.00 Pu.upf
Tl 204.38 Tl.upf
ATOMIC_POSITIONS angstrom
Rh 0.000 0.000 0.000
Pu 2.668 0.000 0.000
Tl 2.668 2.668 2.668
Pu 0.000 2.668 0.000
Pu 0.000 0.000 2.668
CELL_PARAMETERS angstrom
5.336 0.000 0.000
0.000 5.336 0.000
0.000 0.000 5.336



Number 1: mass density 5.17 g/cm3. Number 2: mass density 4.79 g/cm3. Number 3: mass density 8.51 g/cm3. Number 4: mass density 6.85 g/cm3. Number 5: mass density 8.99 g/cm3. Number 6: mass density 11.36 g/cm3. Number 7: mass density 7.18 g/cm3. Number 8: mass density 4.89 g/cm3. Number 9: mass density 6.68 g/cm3. Number 10: mass density 2.92 g/cm3. Number 11: mass density 15.41 g/cm3. Number 12: mass density 11.36 g/cm3.